Entry 1:
Material: Tm6ZnNi
Method: DFT, PBE
State: optimized geometry

a = 6.4877 Å, b = 6.4877 Å, c = 6.4921 Å
α = 101.58°, β = 101.58°, γ = 118.75°
Closest atoms and distances in Å follow each position.
Element x y z (fractional)
Tm 0.2644 0.2644 0.7357  1 Ni 2.58
Tm 0.0805 0.4573 0.2542  1 Ni 2.72, 1 Zn 2.83
Tm 0.5427 0.9195 0.7458  1 Ni 2.72, 1 Zn 2.83
Ni 0.5000 0.5000 0.5000  6 Tm 2.58-2.72
Tm 0.4573 0.0805 0.2542  1 Ni 2.72, 1 Zn 2.83
Tm 0.7356 0.7356 0.2643  1 Ni 2.58
Tm 0.9195 0.5427 0.7458  1 Ni 2.72, 1 Zn 2.83
Zn 0.0000 0.0000 0.0000  6 Tm 2.83-2.89

## Properties
energy of formation from the pure elements = -0.01 eV per atom
space group = C2/m, No. 12


Entry 2:
Material: Tm3Zn4Ni2
Method: DFT, PBE
State: optimized geometry

a = 4.2681 Å, b = 5.6335 Å, c = 7.8472 Å
α = 73.27°, β = 74.22°, γ = 67.74°
Closest atoms and distances in Å follow each position.
Element x y z (fractional)
Tm 0.6853 0.2680 0.3614  3 Ni 2.83-2.98, 7 Zn 3.01-3.12
Ni 0.4066 0.9275 0.2592  3 Zn 2.51-2.53
Zn 0.2847 0.3766 0.0539  1 Ni 2.53, 2 Zn 2.54
Ni 0.5934 0.0725 0.7408  3 Zn 2.51-2.53
Zn 0.9739 0.6898 0.3624  2 Ni 2.51, 1 Zn 2.56
Zn 0.0261 0.3102 0.6376  2 Ni 2.51, 1 Zn 2.56
Tm 0.3147 0.7320 0.6386  3 Ni 2.83-2.98, 7 Zn 3.01-3.12
Zn 0.7153 0.6234 0.9461  1 Ni 2.53, 2 Zn 2.54
Tm 0.0000 0.0000 0.0000  4 Ni 2.87, 8 Zn 2.88-3.19

## Properties
energy of formation from the pure elements = -0.41 eV per atom
space group = C2/m, No. 12


Entry 3:
Material: TmZn2Ni2
Method: DFT, PBE
State: optimized geometry

a = 5.0222 Å, b = 5.0222 Å, c = 8.2800 Å
α = 97.68°, β = 97.68°, γ = 123.87°
Closest atoms and distances in Å follow each position.
Element x y z (fractional)
Ni 0.2011 0.2989 0.7500  4 Zn 2.44-2.48, 2 Ni 2.72
Zn 0.2526 0.0026 0.5050  4 Ni 2.44-2.48, 2 Zn 2.51
Zn 0.5026 0.7526 0.0050  4 Ni 2.44-2.48, 2 Zn 2.51
Tm 0.8748 0.6252 0.7500  6 Ni 2.82-2.89, 4 Zn 3.06
Ni 0.5484 0.9516 0.7500  4 Zn 2.44-2.48, 2 Ni 2.72
Ni 0.4516 0.0484 0.2500  4 Zn 2.44-2.48, 2 Ni 2.72
Zn 0.4974 0.2474 0.9950  4 Ni 2.44-2.48, 2 Zn 2.51
Zn 0.7474 0.9974 0.4950  4 Ni 2.44-2.48, 2 Zn 2.51
Ni 0.7989 0.7011 0.2500  4 Zn 2.44-2.48, 2 Ni 2.72
Tm 0.1252 0.3748 0.2500  6 Ni 2.82-2.89, 4 Zn 3.06

## Properties
energy of formation from the pure elements = -0.27 eV per atom
energy relative to the lowest polymorph listed for this composition = 0.078 eV per atom
space group = C2/c, No. 15


Entry 4:
Material: Tm8ZnNi2
Method: DFT, PBE
State: optimized geometry

a = 4.9429 Å, b = 6.6359 Å, c = 8.9203 Å
α = 106.50°, β = 106.08°, γ = 90.00°
Closest atoms and distances in Å follow each position.
Element x y z (fractional)
Ni 0.1827 0.7165 0.3654  3 Tm 2.64-2.67
Tm 0.8006 0.6707 0.6012  1 Ni 2.67
Ni 0.8173 0.2835 0.6346  3 Tm 2.64-2.67
Tm 0.6757 0.9841 0.3513  1 Ni 2.64
Tm 0.1994 0.3293 0.3988  1 Ni 2.67
Zn 0.5000 0.0000 0.0000  8 Tm 3.02-3.06
Tm 0.4053 0.5299 0.8106  1 Zn 3.06, 2 Ni 3.10, 7 Tm 3.28-3.42
Tm 0.5947 0.4701 0.1894  1 Zn 3.06, 2 Ni 3.10, 7 Tm 3.28-3.42
Tm 0.0364 0.7813 0.0728  1 Ni 2.67
Tm 0.3243 0.0159 0.6487  1 Ni 2.64
Tm 0.9636 0.2187 0.9272  1 Ni 2.67

## Properties
energy of formation from the pure elements = -0.23 eV per atom
energy relative to the lowest polymorph listed for this composition = 0.000 eV per atom
space group = C2/m, No. 12


Entry 5:
Material: TmZn2Ni4
Method: DFT, PBE
State: optimized geometry

a = 5.6147 Å, b = 5.6147 Å, c = 5.6147 Å
α = 101.36°, β = 101.36°, γ = 127.30°
Closest atoms and distances in Å follow each position.
Element x y z (fractional)
Tm 0.0000 0.0000 0.0000  8 Ni 2.95
Ni 0.5000 0.7208 0.2208  2 Ni 2.22, 2 Zn 2.35
Ni 0.7208 0.5000 0.2208  2 Ni 2.22, 2 Zn 2.35
Zn 0.7500 0.2500 0.5000  4 Ni 2.35, 2 Zn 2.49
Zn 0.2500 0.7500 0.5000  4 Ni 2.35, 2 Zn 2.49
Ni 0.2792 0.5000 0.7792  2 Ni 2.22, 2 Zn 2.35
Ni 0.5000 0.2792 0.7792  2 Ni 2.22, 2 Zn 2.35

## Properties
energy of formation from the pure elements = 0.29 eV per atom
energy relative to the lowest polymorph listed for this composition = 0.605 eV per atom
space group = I4/mmm, No. 139


Entry 6:
Material: TmZn2Ni5
Method: DFT, PBE
State: optimized geometry

a = 3.6256 Å, b = 6.1500 Å, c = 6.1500 Å
α = 61.48°, β = 72.86°, γ = 72.86°
Closest atoms and distances in Å follow each position.
Element x y z (fractional)
Tm 0.0000 0.0000 0.0000  10 Ni 2.91-3.14, 4 Zn 3.15
Zn 0.7590 0.7410 0.7410  7 Ni 2.35-2.48
Ni 0.6232 0.5712 0.1825  3 Zn 2.35-2.48, 4 Ni 2.44-2.51
Zn 0.2410 0.2590 0.2590  7 Ni 2.35-2.48
Ni 0.3768 0.8175 0.4288  3 Zn 2.35-2.48, 4 Ni 2.44-2.51
Ni 0.6232 0.1825 0.5712  3 Zn 2.35-2.48, 4 Ni 2.44-2.51
Ni 0.0000 0.5000 0.5000  2 Zn 2.39, 8 Ni 2.51
Ni 0.3768 0.4288 0.8175  3 Zn 2.35-2.48, 4 Ni 2.44-2.51

## Properties
energy of formation from the pure elements = -0.17 eV per atom
space group = Immm, No. 71


Entry 7:
Material: Tm3ZnNi4
Method: DFT, PBE
State: optimized geometry

a = 3.8939 Å, b = 5.3209 Å, c = 8.0058 Å
α = 109.38°, β = 104.07°, γ = 90.00°
Closest atoms and distances in Å follow each position.
Element x y z (fractional)
Tm 0.8044 0.8045 0.6087  6 Ni 2.68-2.87
Tm 0.0000 0.5000 0.0000  8 Ni 2.89
Ni 0.6241 0.8373 0.2482  1 Ni 2.27, 1 Zn 2.37
Zn 0.5000 0.0000 0.0000  4 Ni 2.37
Ni 0.3759 0.1627 0.7518  1 Ni 2.27, 1 Zn 2.37
Ni 0.6241 0.4103 0.2483  1 Ni 2.27, 1 Zn 2.37
Ni 0.3759 0.5897 0.7517  1 Ni 2.27, 1 Zn 2.37
Tm 0.1956 0.1955 0.3913  6 Ni 2.68-2.87

## Properties
energy of formation from the pure elements = -0.32 eV per atom
space group = Immm, No. 71


Entry 8:
Material: TmZn12Ni6
Method: DFT, PBE
State: optimized geometry

a = 6.8773 Å, b = 6.8773 Å, c = 6.8773 Å
α = 105.17°, β = 105.17°, γ = 105.17°
Closest atoms and distances in Å follow each position.
Element x y z (fractional)
Zn 0.5000 0.8854 0.1146  4 Ni 2.42-2.49, 3 Zn 2.50-2.63
Ni 0.2988 0.7196 0.7196  7 Zn 2.42-2.49
Ni 0.2804 0.2804 0.7012  7 Zn 2.42-2.49
Ni 0.7012 0.2804 0.2804  7 Zn 2.42-2.49
Zn 0.1146 0.5000 0.8854  4 Ni 2.42-2.49, 3 Zn 2.50-2.63
Zn 0.5000 0.1146 0.8854  4 Ni 2.42-2.49, 3 Zn 2.50-2.63
Ni 0.7196 0.7196 0.2988  7 Zn 2.42-2.49
Ni 0.7196 0.2988 0.7196  7 Zn 2.42-2.49
Ni 0.2804 0.7012 0.2804  7 Zn 2.42-2.49
Zn 0.8854 0.5000 0.1146  4 Ni 2.42-2.49, 3 Zn 2.50-2.63
Zn 0.8854 0.1146 0.5000  4 Ni 2.42-2.49, 3 Zn 2.50-2.63
Zn 0.6045 0.8599 0.6045  3 Ni 2.45-2.49, 2 Zn 2.63
Zn 0.3955 0.1401 0.3955  3 Ni 2.45-2.49, 2 Zn 2.63
Zn 0.1401 0.3955 0.3955  3 Ni 2.45-2.49, 2 Zn 2.63
Zn 0.3955 0.3955 0.1401  3 Ni 2.45-2.49, 2 Zn 2.63
Zn 0.6045 0.6045 0.8599  3 Ni 2.45-2.49, 2 Zn 2.63
Tm 0.0000 0.0000 0.0000  6 Zn 3.02
Zn 0.1146 0.8854 0.5000  4 Ni 2.42-2.49, 3 Zn 2.50-2.63
Zn 0.8599 0.6045 0.6045  3 Ni 2.45-2.49, 2 Zn 2.63

## Properties
energy of formation from the pure elements = -0.08 eV per atom
space group = R-3m, No. 166


Entry 9:
Material: Tm3Zn2Ni7
Method: DFT, PBE
State: optimized geometry

a = 5.0711 Å, b = 5.0711 Å, c = 8.4576 Å
α = 72.55°, β = 72.55°, γ = 60.00°
Closest atoms and distances in Å follow each position.
Element x y z (fractional)
Ni 0.5000 0.5000 0.5000  6 Ni 2.46
Ni 0.9177 0.4154 0.2515  5 Ni 2.46-2.55, 2 Zn 2.47-2.48
Ni 0.4154 0.9177 0.2515  5 Ni 2.46-2.55, 2 Zn 2.47-2.48
Zn 0.6665 0.6665 0.0006  6 Ni 2.47-2.48
Zn 0.3335 0.3335 0.9994  6 Ni 2.47-2.48
Tm 0.8607 0.8607 0.4179  12 Ni 2.86-3.00
Tm 0.0000 0.0000 0.0000  6 Zn 2.93, 12 Ni 3.23
Tm 0.1393 0.1393 0.5821  12 Ni 2.86-3.00
Ni 0.0823 0.5846 0.7485  5 Ni 2.46-2.55, 2 Zn 2.47-2.48
Ni 0.5846 0.0823 0.7485  5 Ni 2.46-2.55, 2 Zn 2.47-2.48
Ni 0.5846 0.5846 0.7485  5 Ni 2.46-2.55, 2 Zn 2.47-2.48
Ni 0.4154 0.4154 0.2515  5 Ni 2.46-2.55, 2 Zn 2.47-2.48

## Properties
energy of formation from the pure elements = -0.47 eV per atom
space group = R-3m, No. 166


Entry 10:
Material: Tm2ZnNi9
Method: DFT, PBE
State: optimized geometry

a = 4.8734 Å, b = 4.8734 Å, c = 8.4594 Å
α = 73.26°, β = 73.26°, γ = 60.00°
Closest atoms and distances in Å follow each position.
Element x y z (fractional)
Ni 0.3331 0.3331 0.0006  6 Ni 2.41-2.43
Zn 0.0000 0.0000 0.0000  18 Ni 2.81-3.13
Ni 0.5000 0.5000 0.5000  6 Ni 2.47
Ni 0.6669 0.6669 0.9994  6 Ni 2.41-2.43
Tm 0.1352 0.1352 0.5943  9 Ni 2.75-2.91
Ni 0.5830 0.0804 0.7535  7 Ni 2.41-2.47
Ni 0.9196 0.4170 0.2465  7 Ni 2.41-2.47
Tm 0.8648 0.8648 0.4057  9 Ni 2.75-2.91
Ni 0.4170 0.9196 0.2465  7 Ni 2.41-2.47
Ni 0.5830 0.5830 0.7535  7 Ni 2.41-2.47
Ni 0.0804 0.5830 0.7535  7 Ni 2.41-2.47
Ni 0.4170 0.4170 0.2465  7 Ni 2.41-2.47

## Properties
energy of formation from the pure elements = -0.24 eV per atom
space group = R-3m, No. 166